{
  "formula": "NdMgGe2Pt2",
  "functional": "GGA-PBE",
  "state": "optimized geometry",
  "cell": [[-4.240, 0.794, -0.707], [1.734, -3.833, -1.189], [-1.544, -2.647, 6.283]],
  "species": ["Pt", "Pt", "Ge", "Ge", "Mg", "Nd"],
  "fractional_positions": [[0.667, 0.333, 0.692], [0.333, 0.667, 0.308], [0.333, 0.667, 0.716], [0.667, 0.333, 0.284], [0.000, 0.000, 0.500], [0.000, 0.000, 0.000]],
  "e_form_ev_per_atom": -0.8735
}

***

{
  "formula": "NdMg2Ge2Pt",
  "functional": "GGA-PBE",
  "state": "optimized geometry",
  "cell": [[-0.458, -3.321, 2.336], [-0.267, -2.321, -3.352], [10.245, 1.534, 0.614]],
  "species": ["Ge", "Ge", "Pt", "Mg", "Mg", "Nd"],
  "fractional_positions": [[0.347, 0.347, 0.694], [0.653, 0.653, 0.306], [0.000, 0.000, 0.000], [0.250, 0.750, 0.500], [0.750, 0.250, 0.500], [0.500, 0.500, 0.000]],
  "e_form_ev_per_atom": 0.0935
}

***

{
  "formula": "NdPuMgGe",
  "functional": "GGA-PBE",
  "state": "optimized geometry",
  "cell": [[-5.200, 0.473, -0.330], [-2.903, 0.055, 4.352], [-2.327, 4.427, 1.536]],
  "species": ["Nd", "Mg", "Pu", "Ge"],
  "fractional_positions": [[0.000, 0.000, 0.000], [0.750, 0.750, 0.750], [0.500, 0.500, 0.500], [0.250, 0.250, 0.250]],
  "e_form_ev_per_atom": -0.2045
}

***

{
  "formula": "NdMgGe2Rh5",
  "functional": "GGA-PBE",
  "state": "optimized geometry",
  "cell": [[4.589, 0.000, 0.000], [0.000, 4.589, 0.000], [0.000, 0.000, 7.526]],
  "species": ["Ge", "Ge", "Rh", "Rh", "Rh", "Rh", "Rh", "Nd", "Mg"],
  "fractional_positions": [[0.500, 0.500, 0.831], [0.500, 0.500, 0.169], [0.000, 0.500, 0.234], [0.500, 0.500, 0.500], [0.500, 0.000, 0.234], [0.000, 0.500, 0.766], [0.500, 0.000, 0.766], [0.000, 0.000, 0.500], [0.000, 0.000, 0.000]],
  "e_form_ev_per_atom": -0.4196
}

***

Record-wise energy values, in eV/f.u.: -32.9; -22.7; -26.1; -56.1
Record-wise theoretical density values, in g cm⁻³: 10.10; 5.32; 7.96; 8.68